{
  "formula": "Co3GeRu",
  "functional": "GGA-PBE",
  "state": "optimized geometry",
  "formation_enthalpy_0k_kj_per_mol_fu": 682.4,
  "sg": "Pm-3m, No. 221",
  "polymorph_energy_mev_per_atom": 307,
  "dft_energy_ev_per_fu": -28.14,
  "lattice": [[4.4762, 0.0000, 0.0000], [0.0000, 4.4762, 0.0000], [0.0000, 0.0000, 4.4762]],
  "species": ["Co", "Co", "Co", "Ge", "Ru"],
  "frac_coords": [[0.0000, 0.0000, 0.5000], [0.0000, 0.5000, 0.0000], [0.5000, 0.0000, 0.0000], [0.5000, 0.5000, 0.5000], [0.0000, 0.0000, 0.0000]]
}